(1)
DFT (GGA-PBE) results for La4TlRh after structural relaxation.

Summary:
formation enthalpy at 0 K: -0.4652 eV/atom
ΔE to the lowest computed polymorph: 0.0000 eV/atom
space-group type: F-43m (216)

Cell: 10.1508 10.1508 10.1508 Å, 60.00 60.00 60.00°
Fractional coordinates of all 24 atoms:
La: 0.5588 0.5588 0.9412
La: 0.1905 0.8095 0.1905
La: 0.1905 0.8095 0.8095
La: 0.8095 0.1905 0.8095
La: 0.9412 0.5588 0.5588
La: 0.4018 0.4018 0.4018
La: 0.4018 0.7946 0.4018
La: 0.8095 0.8095 0.1905
La: 0.5588 0.9412 0.9412
La: 0.5588 0.9412 0.5588
La: 0.8095 0.1905 0.1905
La: 0.1905 0.1905 0.8095
La: 0.9412 0.9412 0.5588
La: 0.7946 0.4018 0.4018
La: 0.9412 0.5588 0.9412
La: 0.4018 0.4018 0.7946
Rh: 0.6087 0.1740 0.6087
Rh: 0.6087 0.6087 0.6087
Rh: 0.6087 0.6087 0.1740
Rh: 0.1740 0.6087 0.6087
Tl: 0.1667 0.1667 0.1667
Tl: 0.1667 0.1667 0.5000
Tl: 0.5000 0.1667 0.1667
Tl: 0.1667 0.5000 0.1667

=====

(2)
DFT (GGA-PBE) results for Pa4GeTe2S after structural relaxation.

Summary:
formation energy (no corrections): -0.858 eV per atom
space-group type: P2/m (10)

Cell: 4.1413 6.9808 7.5487 Å, 109.00 90.00 90.00°
Fractional coordinates of all 8 atoms:
S: 0.5000 0.5000 0.0000
Pa: 0.0000 0.7214 0.2080
Pa: 0.5000 0.2529 0.2169
Pa: 0.0000 0.2786 0.7920
Pa: 0.5000 0.7471 0.7831
Te: 0.5000 0.0000 0.5000
Te: 0.0000 0.5000 0.5000
Ge: 0.0000 0.0000 0.0000

=====

(3)
DFT (GGA-PBE) results for Li3HoPd3 after structural relaxation.

Summary:
formation enthalpy at 0 K: 0.0392 eV/atom
space-group type: Pm-3n (223)

Cell: 6.3722 6.3722 6.3722 Å, 90.00 90.00 90.00°
Fractional coordinates of all 14 atoms:
Li: 0.5000 0.0000 0.2500
Li: 0.5000 0.0000 0.7500
Li: 0.2500 0.5000 0.0000
Li: 0.0000 0.7500 0.5000
Li: 0.7500 0.5000 0.0000
Li: 0.0000 0.2500 0.5000
Pd: 0.5000 0.2500 0.0000
Pd: 0.2500 0.0000 0.5000
Pd: 0.0000 0.5000 0.2500
Pd: 0.5000 0.7500 0.0000
Pd: 0.7500 0.0000 0.5000
Pd: 0.0000 0.5000 0.7500
Ho: 0.0000 0.0000 0.0000
Ho: 0.5000 0.5000 0.5000

=====

(4)
DFT (GGA-PBE) results for MnAlV2 after structural relaxation.

Summary:
formation enthalpy at 0 K: -0.1314 eV/atom
space-group type: P4/mmm (123)

Cell: 4.1263 3.5942 3.5942 Å, 90.00 90.00 90.00°
Fractional coordinates of all 4 atoms:
V: 0.0000 0.5000 0.0000
V: 0.0000 0.0000 0.5000
Mn: 0.5000 0.5000 0.5000
Al: 0.5000 0.0000 0.0000

=====

(5)
DFT (GGA-PBE) results for Cs2VPBr6 after structural relaxation.

Summary:
formation energy (no corrections): -0.879 eV per atom
space-group type: I4/mmm (139)

Cell: 7.5257 7.5257 8.0142 Å, 62.00 62.00 90.00°
Fractional coordinates of all 10 atoms:
P: 0.5000 0.5000 0.0000
Br: 0.7872 0.7872 0.4257
Br: 0.2128 0.2128 0.5743
Br: 0.2537 0.7463 0.0000
Br: 0.2537 0.2537 0.0000
Br: 0.7463 0.7463 0.0000
Br: 0.7463 0.2537 0.0000
Cs: 0.2500 0.7500 0.5000
Cs: 0.7500 0.2500 0.5000
V: 0.0000 0.0000 0.0000

=====

(6)
DFT (GGA-PBE) results for GeIrN after structural relaxation.

Summary:
ΔE to the lowest computed polymorph: 0.0000 eV/atom
formation energy (no corrections): 0.258 eV per atom
space-group type: Amm2 (38)

Cell: 2.8715 3.0307 9.2986 Å, 90.00 90.00 90.00°
Fractional coordinates of all 6 atoms:
N: 0.0000 0.5000 0.4762
N: 0.0000 0.0000 0.9762
Ge: 0.0000 0.5000 0.0998
Ge: 0.0000 0.0000 0.5998
Ir: 0.5000 0.0000 0.8141
Ir: 0.5000 0.5000 0.3141